DFT (PBE-GGA) results for a relaxed La7Pr16Y6 crystal.

Its magnetization is 0.03 μB per cell. The value obtained for the energy relative to the elements is 0.22 eV per atom.

a b c (Å): 11.372 11.372 11.372
angles (deg): 60.00 60.00 60.00
Atoms (fractional coordinates):
La1 0.000 0.000 0.000
La2 0.000 0.000 0.500
La3 0.000 0.500 0.000
La4 0.000 0.500 0.500
La5 0.500 0.000 0.000
La6 0.500 0.000 0.500
La7 0.500 0.500 0.000
Pr1 0.033 0.656 0.656
Pr2 0.122 0.122 0.122
Pr3 0.122 0.122 0.635
Pr4 0.122 0.635 0.122
Pr5 0.344 0.344 0.344
Pr6 0.344 0.344 0.967
Pr7 0.344 0.967 0.344
Pr8 0.365 0.878 0.878
Pr9 0.635 0.122 0.122
Pr10 0.656 0.033 0.656
Pr11 0.656 0.656 0.033
Pr12 0.656 0.656 0.656
Pr13 0.878 0.365 0.878
Pr14 0.878 0.878 0.365
Pr15 0.878 0.878 0.878
Pr16 0.967 0.344 0.344
Y1 0.297 0.297 0.703
Y2 0.297 0.703 0.297
Y3 0.297 0.703 0.703
Y4 0.703 0.297 0.297
Y5 0.703 0.297 0.703
Y6 0.703 0.703 0.297